# Tl3SbH2 | Alexandria via LeMat-Bulk | PBE-GGA | optimized geometry
data_Tl3SbH2
_chemical_formula_sum 'Tl6 Sb2 H4'
_cell_length_a 6.6949
_cell_length_b 6.9163
_cell_length_c 7.4595
_cell_angle_alpha 98.62
_cell_angle_beta 116.21
_cell_angle_gamma 90.01
_symmetry_space_group_name_H-M 'P -1'
_symmetry_Int_Tables_number 2
loop_
_symmetry_equiv_pos_as_xyz
'x,y,z'
'-x,-y,-z'
loop_
_atom_site_label
_atom_site_type_symbol
_atom_site_fract_x
_atom_site_fract_y
_atom_site_fract_z
Tl1 Tl 0.0256 0.2691 0.1348
Tl2 Tl 0.2897 0.0502 0.7693
Tl3 Tl 0.4161 0.5146 0.7316
Sb1 Sb 0.1724 0.7261 0.3417
H1 H 0.3382 0.2451 0.1410
H2 H 0.3830 0.8747 0.3383
# Magnetization (Bohr magnetons per cell): 0.0
# Calculated total energy (eV for the cell shown): -33.8
# Crystal system: triclinic

***

# LiSc3Ir | Alexandria via LeMat-Bulk | PBE-GGA | optimized geometry
data_LiSc3Ir
_chemical_formula_sum 'Li1 Sc3 Ir1'
_cell_length_a 4.6274
_cell_length_b 4.6274
_cell_length_c 4.6274
_cell_angle_alpha 90.00
_cell_angle_beta 90.00
_cell_angle_gamma 90.00
_symmetry_space_group_name_H-M 'P m -3 m'
_symmetry_Int_Tables_number 221
_symmetry_space_group_name_Hall '-P 4 2 3'
loop_
_atom_site_label
_atom_site_type_symbol
_atom_site_fract_x
_atom_site_fract_y
_atom_site_fract_z
Li1 Li 0.0000 0.0000 0.0000
Sc1 Sc 0.0000 0.0000 0.5000
Ir1 Ir 0.5000 0.5000 0.5000
# Magnetization (Bohr magnetons per cell): 2.0
# Energy of formation (kJ/mol of atoms): 61
# Calculated total energy (eV for the cell shown): -26.6
# Relative energy among the computed polymorphs (eV/atom): 0.8433
# Crystal system: cubic

***

# Rb2BaRu | Alexandria via LeMat-Bulk | PBE-GGA | optimized geometry
data_Rb2BaRu
_chemical_formula_sum 'Rb8 Ba4 Ru4'
_cell_length_a 8.6955
_cell_length_b 8.6955
_cell_length_c 8.6955
_cell_angle_alpha 90.00
_cell_angle_beta 90.00
_cell_angle_gamma 90.00
_symmetry_space_group_name_H-M 'F m -3 m'
_symmetry_Int_Tables_number 225
_symmetry_space_group_name_Hall '-F 4 2 3'
loop_
_atom_site_label
_atom_site_type_symbol
_atom_site_fract_x
_atom_site_fract_y
_atom_site_fract_z
Rb1 Rb 0.2500 0.2500 0.2500
Ba1 Ba 0.0000 0.0000 0.0000
Ru1 Ru 0.0000 0.0000 0.5000
# Magnetization (Bohr magnetons per cell): 6.0
# Energy of formation (kJ/mol of atoms): 110
# Calculated total energy (eV for the cell shown): -34.3
# Relative energy among the computed polymorphs (eV/atom): 0.0000
# Crystal system: cubic

***

# TmTiNi | Alexandria via LeMat-Bulk | PBE-GGA | optimized geometry
data_TmTiNi
_chemical_formula_sum 'Tm2 Ti2 Ni2'
_cell_length_a 4.2865
_cell_length_b 4.2865
_cell_length_c 6.2337
_cell_angle_alpha 90.00
_cell_angle_beta 90.00
_cell_angle_gamma 90.00
_symmetry_space_group_name_H-M 'P 4/n m m'
_symmetry_Int_Tables_number 129
loop_
_symmetry_equiv_pos_as_xyz
'x,y,z'
'-x,-y,-z'
'-y+1/2,x,z'
'y+1/2,-x,-z'
'-x+1/2,-y+1/2,z'
'x+1/2,y+1/2,-z'
'y,-x+1/2,z'
'-y,x+1/2,-z'
'x+1/2,-y,-z'
'-x+1/2,y,z'
'-y,-x,-z'
'y,x,z'
'-x,y+1/2,-z'
'x,-y+1/2,z'
'y+1/2,x+1/2,-z'
'-y+1/2,-x+1/2,z'
loop_
_atom_site_label
_atom_site_type_symbol
_atom_site_fract_x
_atom_site_fract_y
_atom_site_fract_z
Tm1 Tm 0.2500 0.2500 0.1301
Ti1 Ti 0.2500 0.7500 0.5000
Ni1 Ni 0.2500 0.2500 0.6942
# Magnetization (Bohr magnetons per cell): 0.0
# Energy of formation (kJ/mol of atoms): -31
# Calculated total energy (eV for the cell shown): -38.2
# Crystal system: tetragonal

***

# Zr6Tl | Alexandria via LeMat-Bulk | PBE-GGA | optimized geometry
data_Zr6Tl
_chemical_formula_sum 'Zr12 Tl2'
_cell_length_a 5.8151
_cell_length_b 5.8151
_cell_length_c 10.0772
_cell_angle_alpha 90.00
_cell_angle_beta 90.00
_cell_angle_gamma 90.00
_symmetry_space_group_name_H-M 'P 4/n b m'
_symmetry_Int_Tables_number 125
loop_
_symmetry_equiv_pos_as_xyz
'x,y,z'
'-x,-y,-z'
'-y+1/2,x,z'
'y+1/2,-x,-z'
'-x+1/2,-y+1/2,z'
'x+1/2,y+1/2,-z'
'y,-x+1/2,z'
'-y,x+1/2,-z'
'x,-y+1/2,-z'
'-x,y+1/2,z'
'-y+1/2,-x+1/2,-z'
'y+1/2,x+1/2,z'
'-x+1/2,y,-z'
'x+1/2,-y,z'
'y,x,-z'
'-y,-x,z'
loop_
_atom_site_label
_atom_site_type_symbol
_atom_site_fract_x
_atom_site_fract_y
_atom_site_fract_z
Zr1 Zr 0.0796 0.5796 0.1430
Zr2 Zr 0.2500 0.2500 0.3731
Tl1 Tl 0.2500 0.7500 0.5000
# Magnetization (Bohr magnetons per cell): 0.0
# Energy of formation (kJ/mol of atoms): 31
# Calculated total energy (eV for the cell shown): -102.8
# Crystal system: tetragonal

***

# YFeSb2 | Alexandria via LeMat-Bulk | PBE-GGA | optimized geometry
data_YFeSb2
_chemical_formula_sum 'Y1 Fe1 Sb2'
_cell_length_a 4.1007
_cell_length_b 4.4537
_cell_length_c 5.0103
_cell_angle_alpha 90.00
_cell_angle_beta 90.00
_cell_angle_gamma 90.00
_symmetry_space_group_name_H-M 'P m m m'
_symmetry_Int_Tables_number 47
loop_
_symmetry_equiv_pos_as_xyz
'x,y,z'
'-x,-y,-z'
'-x,-y,z'
'x,y,-z'
'x,-y,-z'
'-x,y,z'
'-x,y,-z'
'x,-y,z'
loop_
_atom_site_label
_atom_site_type_symbol
_atom_site_fract_x
_atom_site_fract_y
_atom_site_fract_z
Y1 Y 0.0000 0.0000 0.0000
Fe1 Fe 0.0000 0.5000 0.5000
Sb1 Sb 0.5000 0.0000 0.5000
Sb2 Sb 0.5000 0.5000 0.0000
# Magnetization (Bohr magnetons per cell): 2.8
# Calculated total energy (eV for the cell shown): -23.8
# Crystal system: orthorhombic
# ΔE_f (raw) (kJ per mole of atoms): -16.2

***

# TmZrBeRu | Alexandria via LeMat-Bulk | PBE-GGA | optimized geometry
data_TmZrBeRu
_chemical_formula_sum 'Tm4 Zr4 Be4 Ru4'
_cell_length_a 6.6141
_cell_length_b 6.6141
_cell_length_c 6.6141
_cell_angle_alpha 90.00
_cell_angle_beta 90.00
_cell_angle_gamma 90.00
_symmetry_space_group_name_H-M 'F -4 3 m'
_symmetry_Int_Tables_number 216
_symmetry_space_group_name_Hall 'F -4 2 3'
loop_
_atom_site_label
_atom_site_type_symbol
_atom_site_fract_x
_atom_site_fract_y
_atom_site_fract_z
Tm1 Tm 0.0000 0.0000 0.0000
Zr1 Zr 0.0000 0.0000 0.5000
Be1 Be 0.2500 0.2500 0.2500
Ru1 Ru 0.2500 0.2500 0.7500
# Magnetization (Bohr magnetons per cell): 0.0
# Energy of formation (kJ/mol of atoms): -22
# Calculated total energy (eV for the cell shown): -107.7
# Crystal system: cubic

***

# Ti2Fe3Ge2 | Alexandria via LeMat-Bulk | PBE-GGA | optimized geometry
data_Ti2Fe3Ge2
_chemical_formula_sum 'Ti4 Fe6 Ge4'
_cell_length_a 2.9333
_cell_length_b 23.8428
_cell_length_c 2.9314
_cell_angle_alpha 90.00
_cell_angle_beta 90.00
_cell_angle_gamma 90.00
_symmetry_space_group_name_H-M 'C m m m'
_symmetry_Int_Tables_number 65
_symmetry_space_group_name_Hall '-C 2 2'
loop_
_atom_site_label
_atom_site_type_symbol
_atom_site_fract_x
_atom_site_fract_y
_atom_site_fract_z
Ti1 Ti 0.0000 0.1186 0.0000
Fe1 Fe 0.0000 0.0000 0.0000
Fe2 Fe 0.0000 0.4415 0.5000
Ge1 Ge 0.0000 0.3021 0.5000
# Magnetization (Bohr magnetons per cell): 9.7
# Energy of formation (kJ/mol of atoms): -12
# Calculated total energy (eV for the cell shown): -102.6
# Crystal system: orthorhombic